AcPuCrO6 | PBE+U | optimized geometry

Results
space-group type = P-31c (163)
crystal system = trigonal
ρ = 7.5 g/cm3
energy = -0.3257 Ha/atom
M_tot = 5.0 μB per formula unit

a b c (Å): 5.403 5.403 10.836
angles (deg): 90.00 90.00 120.00
Positions (direct):
Ac: 0.000 0.000 0.000
Ac: 0.000 0.000 0.500
Pu: 0.333 0.667 0.250
Pu: 0.667 0.333 0.750
Cr: 0.333 0.667 0.750
Cr: 0.667 0.333 0.250
O: 0.007 0.370 0.646
O: 0.007 0.637 0.854
O: 0.363 0.370 0.854
O: 0.363 0.993 0.646
O: 0.370 0.007 0.146
O: 0.370 0.363 0.354
O: 0.630 0.637 0.646
O: 0.630 0.993 0.854
O: 0.637 0.007 0.354
O: 0.637 0.630 0.146
O: 0.993 0.363 0.146
O: 0.993 0.630 0.354